Model w:
This record from Alexandria describes an optimized crystal structure of Ca3La. The functional is GGA-PBE.

a b c (Å): 6.6253 12.5927 7.7899
angles (deg): 90.00 90.00 90.00
Fractional coordinates of all 16 atoms:
1 Ca 0.0881 0.2500 0.1255
2 Ca 0.2501 0.0004 0.3810
3 Ca 0.2499 0.9996 0.8810
4 Ca 0.2501 0.4996 0.3810
5 Ca 0.2499 0.5004 0.8810
6 Ca 0.4119 0.7500 0.6255
7 Ca 0.5881 0.2500 0.3745
8 Ca 0.7501 0.0004 0.1190
9 Ca 0.7499 0.9996 0.6190
10 Ca 0.7501 0.4996 0.1190
11 Ca 0.7499 0.5004 0.6190
12 Ca 0.9119 0.7500 0.8745
13 La 0.0803 0.2500 0.6454
14 La 0.4197 0.7500 0.1454
15 La 0.5803 0.2500 0.8546
16 La 0.9197 0.7500 0.3546

The space group is Pnma.

Model x:
This record from Alexandria describes an optimized crystal structure of Ca3La. The functional is GGA-PBE.

a b c (Å): 5.4809 5.4809 5.4809
angles (deg): 90.00 90.00 90.00
Fractional coordinates of all 4 atoms:
1 Ca 0.0000 0.0000 0.5000
2 Ca 0.0000 0.5000 0.0000
3 Ca 0.5000 0.0000 0.0000
4 La 0.5000 0.5000 0.5000

The space group is Pm-3m.

Model y:
This record from Alexandria describes an optimized crystal structure of Ca3La. The functional is GGA-PBE.

a b c (Å): 13.2688 6.7521 3.7676
angles (deg): 90.00 106.36 90.00
Fractional coordinates of all 8 atoms:
1 Ca 0.0000 0.0000 0.0000
2 Ca 0.2487 0.6788 0.2487
3 Ca 0.2513 0.1788 0.7513
4 Ca 0.5000 0.5000 0.0000
5 Ca 0.7487 0.1788 0.2487
6 Ca 0.7513 0.6788 0.7513
7 La 0.0000 0.4999 0.5000
8 La 0.5000 0.9999 0.5000

The space group is C2.

The least stable of them is model x.

Model w:
This record from Alexandria describes an optimized crystal structure of Ca3La. The functional is GGA-PBE.

a b c (Å): 6.7342 6.7342 6.7342
angles (deg): 90.00 90.00 90.00
Fractional coordinates of all 4 atoms:
1 Ca 0.0000 0.0000 0.5000
2 Ca 0.0000 0.5000 0.0000
3 Ca 0.5000 0.0000 0.0000
4 La 0.0000 0.0000 0.0000

The space group is Pm-3m.

Model x:
This record from Alexandria describes an optimized crystal structure of Ca3La. The functional is GGA-PBE.

a b c (Å): 3.8219 3.8219 12.8348
angles (deg): 90.00 90.00 120.00
Fractional coordinates of all 4 atoms:
1 Ca 0.0000 0.0000 0.0000
2 Ca 0.3333 0.6667 0.2532
3 Ca 0.3333 0.6667 0.7468
4 La 0.0000 0.0000 0.5000

The space group is P-6m2.

The least stable of them is model w.

Model w:
This record from Alexandria describes an optimized crystal structure of CaLa8. The functional is GGA-PBE.

a b c (Å): 6.5034 6.5034 9.1493
angles (deg): 90.05 90.05 120.01
Fractional coordinates of all 9 atoms:
1 Ca 0.0000 0.0000 0.0000
2 La 0.0007 0.6567 0.3371
3 La 0.3325 0.6675 0.0000
4 La 0.3433 0.9993 0.6629
5 La 0.3444 0.3444 0.3368
6 La 0.6556 0.6556 0.6632
7 La 0.6567 0.0007 0.3371
8 La 0.6675 0.3325 0.0000
9 La 0.9993 0.3433 0.6629

The space group is C2/m.

Model x:
This record from Alexandria describes an optimized crystal structure of CaLa8. The functional is GGA-PBE.

a b c (Å): 8.3703 8.3703 8.3703
angles (deg): 95.80 95.80 142.93
Fractional coordinates of all 9 atoms:
1 Ca 0.0000 0.0000 0.0000
2 La 0.0000 0.3360 0.3360
3 La 0.0000 0.6640 0.6640
4 La 0.3260 0.3260 0.6519
5 La 0.3260 0.6740 0.0000
6 La 0.3360 0.0000 0.3360
7 La 0.6640 0.0000 0.6640
8 La 0.6740 0.3260 0.0000
9 La 0.6740 0.6740 0.3481

The space group is I4/mmm.

The least stable of them is model w.

Model w:
This record from Alexandria describes an optimized crystal structure of CaLa5. The functional is GGA-PBE.

a b c (Å): 3.7493 3.7493 16.0684
angles (deg): 90.00 90.00 90.00
Fractional coordinates of all 6 atoms:
1 Ca 0.0000 0.0000 0.0000
2 La 0.0000 0.0000 0.3342
3 La 0.0000 0.0000 0.6658
4 La 0.5000 0.5000 0.1793
5 La 0.5000 0.5000 0.5000
6 La 0.5000 0.5000 0.8207

The space group is P4/mmm.

Model x:
This record from Alexandria describes an optimized crystal structure of CaLa5. The functional is GGA-PBE.

a b c (Å): 13.9778 3.7546 8.9944
angles (deg): 90.00 104.78 90.00
Fractional coordinates of all 12 atoms:
1 Ca 0.0000 0.0000 0.0000
2 Ca 0.5000 0.5000 0.0000
3 La 0.0532 0.0000 0.6032
4 La 0.1702 0.5000 0.3416
5 La 0.2263 0.5000 0.9469
6 La 0.3254 0.0000 0.6667
7 La 0.3831 0.0000 0.2832
8 La 0.5532 0.5000 0.6032
9 La 0.6702 0.0000 0.3416
10 La 0.7263 0.0000 0.9469
11 La 0.8254 0.5000 0.6667
12 La 0.8831 0.5000 0.2832

The space group is Cm.

Model y:
This record from Alexandria describes an optimized crystal structure of CaLa5. The functional is GGA-PBE.

a b c (Å): 6.1174 18.6700 3.9937
angles (deg): 90.00 90.00 90.00
Fractional coordinates of all 12 atoms:
1 Ca 0.0000 0.0000 0.0000
2 Ca 0.5000 0.5000 0.0000
3 La 0.0000 0.1576 0.5000
4 La 0.0000 0.3243 0.0000
5 La 0.0000 0.5000 0.5000
6 La 0.0000 0.6757 0.0000
7 La 0.0000 0.8424 0.5000
8 La 0.5000 0.0000 0.5000
9 La 0.5000 0.1757 0.0000
10 La 0.5000 0.3424 0.5000
11 La 0.5000 0.6576 0.5000
12 La 0.5000 0.8243 0.0000

The space group is Cmmm.

Model z:
This record from Alexandria describes an optimized crystal structure of CaLa5. The functional is GGA-PBE.

a b c (Å): 6.9228 6.9228 6.9228
angles (deg): 60.00 60.00 60.00
Fractional coordinates of all 6 atoms:
1 Ca 0.0000 0.0000 0.0000
2 La 0.3773 0.3773 0.3773
3 La 0.3773 0.3773 0.8680
4 La 0.3773 0.8680 0.3773
5 La 0.7500 0.7500 0.7500
6 La 0.8680 0.3773 0.3773

The space group is F-43m.

The least stable of them is model z.

Model w:
This record from Alexandria describes an optimized crystal structure of Ca2La. The functional is GGA-PBE.

a b c (Å): 7.5400 5.6476 11.2561
angles (deg): 90.00 90.00 90.00
Fractional coordinates of all 12 atoms:
1 Ca 0.0971 0.2500 0.0947
2 Ca 0.1830 0.2500 0.7635
3 Ca 0.3170 0.7500 0.2635
4 Ca 0.4029 0.7500 0.5947
5 Ca 0.5971 0.2500 0.4053
6 Ca 0.6830 0.2500 0.7365
7 Ca 0.8170 0.7500 0.2365
8 Ca 0.9029 0.7500 0.9053
9 La 0.0775 0.2500 0.4421
10 La 0.4225 0.7500 0.9421
11 La 0.5775 0.2500 0.0579
12 La 0.9225 0.7500 0.5579

The space group is Pnma.

Model x:
This record from Alexandria describes an optimized crystal structure of Ca2La. The functional is GGA-PBE.

a b c (Å): 6.1357 6.1357 3.6553
angles (deg): 90.00 90.00 120.00
Fractional coordinates of all 3 atoms:
1 Ca 0.3333 0.6667 0.1197
2 Ca 0.6667 0.3333 0.8803
3 La 0.0000 0.0000 0.5000

The space group is P-3m1.

The least stable of them is model w.

Model w:
This record from Alexandria describes an optimized crystal structure of Ca2La3. The functional is GGA-PBE.

a b c (Å): 12.9431 12.9431 12.9431
angles (deg): 28.14 28.14 28.14
Fractional coordinates of all 10 atoms:
1 Ca 0.1715 0.1715 0.1715
2 Ca 0.3285 0.3285 0.3285
3 Ca 0.6715 0.6715 0.6715
4 Ca 0.8285 0.8285 0.8285
5 La 0.1287 0.7500 0.3713
6 La 0.2500 0.6287 0.8713
7 La 0.3713 0.1287 0.7500
8 La 0.6287 0.8713 0.2500
9 La 0.7500 0.3713 0.1287
10 La 0.8713 0.2500 0.6287

The space group is R-3c.

Model x:
This record from Alexandria describes an optimized crystal structure of Ca2La3. The functional is GGA-PBE.

a b c (Å): 9.6462 7.2024 11.0513
angles (deg): 59.43 40.01 80.56
Fractional coordinates of all 10 atoms:
1 Ca 0.2741 0.7259 0.3235
2 Ca 0.5735 0.9265 0.5241
3 Ca 0.7259 0.2741 0.6765
4 Ca 0.9265 0.5735 0.9759
5 La 0.1030 0.8348 0.0883
6 La 0.1617 0.2761 0.1470
7 La 0.2761 0.1617 0.4152
8 La 0.4416 0.4416 0.5584
9 La 0.6916 0.6916 0.8084
10 La 0.8348 0.1030 0.9739

The space group is Fdd2.

The least stable of them is model w.